Here is CaInP2Cl after structural relaxation from the Alexandria database. Energies are from GGA-PBE.

Its crystal system is tetragonal.

The structure belongs to space group P4/mmm (No. 123); the cell edges are 5.171, 5.171 and 5.569 Å and the angles 90.00°, 90.00° and 90.00°. The inequivalent atoms are Ca at (0.000, 0.000, 0.000), In at (0.500, 0.500, 0.500), P at (0.000, 0.500, 0.500) and Cl at (0.500, 0.500, 0.000).

***

Here is CaInPbCl5 after structural relaxation from the Alexandria database. Energies are from GGA-PBE.

Its crystal system is monoclinic.

The structure belongs to space group C2/c (No. 15); the cell edges are 10.257, 11.641 and 10.175 Å and the angles 90.00°, 113.81° and 90.00°. The inequivalent atoms are Ca at (0.250, 0.250, 0.000), In at (0.000, 0.054, 0.250), Pb at (0.000, 0.497, 0.750), Cl at (0.000, 0.215, 0.750), Cl at (0.046, 0.339, 0.081) and Cl at (0.200, 0.034, 0.075).

***

Here is CaPmInCl6 after structural relaxation from the Alexandria database. Energies are from GGA-PBE.

Its crystal system is trigonal.

The structure belongs to space group P-31c (No. 163); the cell edges are 7.2162, 7.2162 and 13.6157 Å and the angles 90.00°, 90.00° and 120.00°. The inequivalent atoms are Ca at (0.3333, 0.6667, 0.2500), Pm at (0.3333, 0.6667, 0.7500), In at (0.0000, 0.0000, 0.0000) and Cl at (0.0025, 0.3717, 0.6377).

***

In meV/atom, the E_form (uncorrected) values for the records above are, in order, -83; -1500; -2006.
In Ry per atom, the total DFT energy (no corrections) values for the records above are, in order, -0.26195; -0.27271; -0.31546.